[1]
The following is a DFT calculation (GGA-PBE) of a relaxed CaBe4Al crystal.

Structure (CIF):
```
data_CaBe4Al
_space_group_name_H-M_alt 'P 1'
_space_group_IT_number 1
_cell_length_a 4.773
_cell_length_b 4.773
_cell_length_c 4.773
_cell_angle_alpha 60.00
_cell_angle_beta 60.00
_cell_angle_gamma 60.00
loop_
_space_group_symop_operation_xyz
'x,y,z'
loop_
_atom_site_label
_atom_site_fract_x
_atom_site_fract_y
_atom_site_fract_z
_atom_site_occupancy
Ca1 0.000 0.000 0.000 1
Be1 0.373 0.373 0.373 1
Be2 0.373 0.373 0.880 1
Be3 0.373 0.880 0.373 1
Be4 0.880 0.373 0.373 1
Al1 0.750 0.750 0.750 1
```

Properties
Calculated total energy, eV/cell: -19.21
ΔE_f, eV/f.u.: 1.44

=====

[2]
The following is a DFT calculation (GGA-PBE) of a relaxed InFe2Rh crystal.

Structure (CIF):
```
data_InFe2Rh
_space_group_name_H-M_alt 'P 1'
_space_group_IT_number 1
_cell_length_a 5.239
_cell_length_b 5.239
_cell_length_c 2.822
_cell_angle_alpha 102.98
_cell_angle_beta 102.98
_cell_angle_gamma 119.49
loop_
_space_group_symop_operation_xyz
'x,y,z'
loop_
_atom_site_label
_atom_site_fract_x
_atom_site_fract_y
_atom_site_fract_z
_atom_site_occupancy
In1 0.000 0.000 0.000 1
Fe1 0.000 0.500 0.500 1
Fe2 0.500 0.000 0.500 1
Rh1 0.500 0.500 0.000 1
```

Properties
Calculated total energy, eV/cell: -26.37
ΔE_f, eV/f.u.: 0.64

=====

[3]
The following is a DFT calculation (GGA-PBE) of a relaxed LiHgMo2 crystal.

Structure (CIF):
```
data_LiHgMo2
_space_group_name_H-M_alt 'P 1'
_space_group_IT_number 1
_cell_length_a 2.733
_cell_length_b 4.615
_cell_length_c 5.193
_cell_angle_alpha 90.00
_cell_angle_beta 90.00
_cell_angle_gamma 90.00
loop_
_space_group_symop_operation_xyz
'x,y,z'
loop_
_atom_site_label
_atom_site_fract_x
_atom_site_fract_y
_atom_site_fract_z
_atom_site_occupancy
Li1 0.000 0.000 0.000 1
Hg1 0.000 0.000 0.500 1
Mo1 0.500 0.500 0.232 1
Mo2 0.500 0.500 0.768 1
```

Properties
Calculated total energy, eV/cell: -22.25
ΔE_f, eV/f.u.: 1.62

=====

[4]
The following is a DFT calculation (GGA-PBE) of a relaxed BaSrZn3 crystal.

Structure (CIF):
```
data_BaSrZn3
_space_group_name_H-M_alt 'P 1'
_space_group_IT_number 1
_cell_length_a 5.783
_cell_length_b 5.783
_cell_length_c 5.783
_cell_angle_alpha 90.00
_cell_angle_beta 90.00
_cell_angle_gamma 90.00
loop_
_space_group_symop_operation_xyz
'x,y,z'
loop_
_atom_site_label
_atom_site_fract_x
_atom_site_fract_y
_atom_site_fract_z
_atom_site_occupancy
Ba1 0.000 0.000 0.000 1
Sr1 0.500 0.500 0.500 1
Zn1 0.000 0.500 0.500 1
Zn2 0.500 0.000 0.500 1
Zn3 0.500 0.500 0.000 1
```

Properties
Calculated total energy, eV/cell: -5.77
Distance to the lowest polymorph of the same formula, eV per atom: 0.536
ΔE_f, eV/f.u.: 1.66

=====

[5]
The following is a DFT calculation (GGA-PBE) of a relaxed KSnPO6 crystal.

Structure (CIF):
```
data_KSnPO6
_space_group_name_H-M_alt 'P 1'
_space_group_IT_number 1
_cell_length_a 5.110
_cell_length_b 5.110
_cell_length_c 5.991
_cell_angle_alpha 90.00
_cell_angle_beta 90.00
_cell_angle_gamma 120.00
loop_
_space_group_symop_operation_xyz
'x,y,z'
loop_
_atom_site_label
_atom_site_fract_x
_atom_site_fract_y
_atom_site_fract_z
_atom_site_occupancy
K1 0.000 0.000 0.000 1
Sn1 0.333 0.667 0.500 1
P1 0.667 0.333 0.500 1
O1 0.403 0.056 0.668 1
O2 0.403 0.347 0.332 1
O3 0.653 0.056 0.332 1
O4 0.653 0.597 0.668 1
O5 0.944 0.347 0.668 1
O6 0.944 0.597 0.332 1
```

Properties
Calculated total energy, eV/cell: -53.02
Uncorrected formation energy, eV per atom: -1.4180

=====

[6]
The following is a DFT calculation (GGA-PBE) of a relaxed Ca3AcRh2 crystal.

Structure (CIF):
```
data_Ca3AcRh2
_space_group_name_H-M_alt 'P 1'
_space_group_IT_number 1
_cell_length_a 8.711
_cell_length_b 8.711
_cell_length_c 8.711
_cell_angle_alpha 132.40
_cell_angle_beta 71.58
_cell_angle_gamma 129.92
loop_
_space_group_symop_operation_xyz
'x,y,z'
loop_
_atom_site_label
_atom_site_fract_x
_atom_site_fract_y
_atom_site_fract_z
_atom_site_occupancy
Ca1 0.007 0.750 0.257 1
Ca2 0.250 0.250 0.000 1
Ca3 0.493 0.750 0.743 1
Ca4 0.507 0.250 0.257 1
Ca5 0.750 0.750 0.000 1
Ca6 0.993 0.250 0.743 1
Ac1 0.000 0.500 0.500 1
Ac2 0.500 0.000 0.500 1
Rh1 0.130 0.233 0.363 1
Rh2 0.370 0.733 0.103 1
Rh3 0.630 0.267 0.897 1
Rh4 0.870 0.767 0.637 1
```

Properties
Calculated total energy, eV/cell: -53.21
Distance to the lowest polymorph of the same formula, eV per atom: 0.093
ΔE_f, eV/f.u.: -1.79